[1]
A relaxed structure of LaTaRh, computed with PBE-GGA.

```
data_LaTaRh
_space_group_name_H-M_alt 'P 1'
_space_group_IT_number 1
_cell_length_a 3.381
_cell_length_b 3.381
_cell_length_c 11.400
_cell_angle_alpha 90.00
_cell_angle_beta 90.00
_cell_angle_gamma 90.00
loop_
_space_group_symop_operation_xyz
'x,y,z'
loop_
_atom_site_label
_atom_site_type_symbol
_atom_site_fract_x
_atom_site_fract_y
_atom_site_fract_z
La1 La 0.000 0.000 0.167
La2 La 0.000 0.000 0.833
Ta1 Ta 0.500 0.500 0.380
Ta2 Ta 0.500 0.500 0.620
Rh1 Rh 0.000 0.000 0.500
Rh2 Rh 0.500 0.500 0.000
```

Computed properties:
Its density of states at the Fermi level is 7.83 states/eV/cell. The calculation puts the energy above the most stable polymorph in this dataset at 0.387 eV/f.u. The value obtained for the total magnetization is 0.00 μB/cell. Its formation energy is -5.8 kJ/mol of atoms. Its symmetry is P4/mmm (123).

[2]
A relaxed structure of TbY2Al, computed with PBE-GGA.

```
data_TbY2Al
_space_group_name_H-M_alt 'P 1'
_space_group_IT_number 1
_cell_length_a 4.789
_cell_length_b 4.789
_cell_length_c 4.767
_cell_angle_alpha 90.00
_cell_angle_beta 90.00
_cell_angle_gamma 90.00
loop_
_space_group_symop_operation_xyz
'x,y,z'
loop_
_atom_site_label
_atom_site_type_symbol
_atom_site_fract_x
_atom_site_fract_y
_atom_site_fract_z
Tb1 Tb 0.000 0.000 0.000
Y1 Y 0.000 0.500 0.500
Y2 Y 0.500 0.000 0.500
Al1 Al 0.500 0.500 0.000
```

Computed properties:
Its density of states at the Fermi level is 5.98 states/eV/cell. The calculation puts the energy above the most stable polymorph in this dataset at 0.066 eV/f.u. The value obtained for the total magnetization is 0.00 μB/cell. Its formation energy is -18.0 kJ/mol of atoms. Its symmetry is P4/mmm (123).

[3]
A relaxed structure of Sr2CoCBr, computed with PBE-GGA.

```
data_Sr2CoCBr
_space_group_name_H-M_alt 'P 1'
_space_group_IT_number 1
_cell_length_a 5.547
_cell_length_b 5.547
_cell_length_c 3.673
_cell_angle_alpha 90.00
_cell_angle_beta 90.00
_cell_angle_gamma 90.00
loop_
_space_group_symop_operation_xyz
'x,y,z'
loop_
_atom_site_label
_atom_site_type_symbol
_atom_site_fract_x
_atom_site_fract_y
_atom_site_fract_z
Sr1 Sr 0.000 0.500 0.000
Sr2 Sr 0.500 0.000 0.000
Co1 Co 0.000 0.000 0.500
C1 C 0.000 0.000 0.000
Br1 Br 0.500 0.500 0.500
```

Computed properties:
Its density of states at the Fermi level is 1.86 states/eV/cell. The value obtained for the total magnetization is 0.00 μB/cell. The raw formation energy is -0.507 eV/atom. Its symmetry is P4/mmm (123).

[4]
A relaxed structure of BaY2Ta, computed with PBE-GGA.

```
data_BaY2Ta
_space_group_name_H-M_alt 'P 1'
_space_group_IT_number 1
_cell_length_a 10.617
_cell_length_b 3.334
_cell_length_c 7.078
_cell_angle_alpha 90.00
_cell_angle_beta 95.62
_cell_angle_gamma 90.00
loop_
_space_group_symop_operation_xyz
'x,y,z'
loop_
_atom_site_label
_atom_site_type_symbol
_atom_site_fract_x
_atom_site_fract_y
_atom_site_fract_z
Ba1 Ba 0.000 0.000 0.000
Ba2 Ba 0.500 0.500 0.000
Y1 Y 0.235 0.000 0.698
Y2 Y 0.265 0.500 0.302
Y3 Y 0.735 0.500 0.698
Y4 Y 0.765 0.000 0.302
Ta1 Ta 0.000 0.500 0.500
Ta2 Ta 0.500 0.000 0.500
```

Computed properties:
Its density of states at the Fermi level is 12.86 states/eV/cell. The calculation puts the energy above the most stable polymorph in this dataset at 0.893 eV/f.u. The value obtained for the total magnetization is 0.00 μB/cell. Its formation energy is 58.1 kJ/mol of atoms. Its symmetry is C2/m (12).

[5]
A relaxed structure of NaZnPd, computed with PBE-GGA.

```
data_NaZnPd
_space_group_name_H-M_alt 'P 1'
_space_group_IT_number 1
_cell_length_a 5.379
_cell_length_b 5.605
_cell_length_c 7.186
_cell_angle_alpha 90.00
_cell_angle_beta 90.00
_cell_angle_gamma 90.00
loop_
_space_group_symop_operation_xyz
'x,y,z'
loop_
_atom_site_label
_atom_site_type_symbol
_atom_site_fract_x
_atom_site_fract_y
_atom_site_fract_z
Na1 Na 0.000 0.250 0.133
Na2 Na 0.000 0.750 0.867
Na3 Na 0.500 0.250 0.367
Na4 Na 0.500 0.750 0.633
Zn1 Zn 0.250 0.250 0.750
Zn2 Zn 0.250 0.750 0.250
Zn3 Zn 0.750 0.250 0.750
Zn4 Zn 0.750 0.750 0.250
Pd1 Pd 0.000 0.000 0.500
Pd2 Pd 0.000 0.500 0.500
Pd3 Pd 0.500 0.000 0.000
Pd4 Pd 0.500 0.500 0.000
```

Computed properties:
Its density of states at the Fermi level is 2.24 states/eV/cell. The calculation puts the energy above the most stable polymorph in this dataset at 0.000 eV/f.u. The value obtained for the total magnetization is 0.00 μB/cell. Its formation energy is -31.7 kJ/mol of atoms. Its symmetry is Imma (74).

[6]
A relaxed structure of YHo2Cu, computed with PBE-GGA.

```
data_YHo2Cu
_space_group_name_H-M_alt 'P 1'
_space_group_IT_number 1
_cell_length_a 3.579
_cell_length_b 3.579
_cell_length_c 29.599
_cell_angle_alpha 90.00
_cell_angle_beta 90.00
_cell_angle_gamma 120.00
loop_
_space_group_symop_operation_xyz
'x,y,z'
loop_
_atom_site_label
_atom_site_type_symbol
_atom_site_fract_x
_atom_site_fract_y
_atom_site_fract_z
Y1 Y 0.000 0.000 0.000
Y2 Y 0.333 0.667 0.667
Y3 Y 0.667 0.333 0.333
Ho1 Ho 0.000 0.000 0.235
Ho2 Ho 0.000 0.000 0.765
Ho3 Ho 0.333 0.667 0.432
Ho4 Ho 0.333 0.667 0.901
Ho5 Ho 0.667 0.333 0.099
Ho6 Ho 0.667 0.333 0.568
Cu1 Cu 0.000 0.000 0.500
Cu2 Cu 0.333 0.667 0.167
Cu3 Cu 0.667 0.333 0.833
```

Computed properties:
Its density of states at the Fermi level is 15.32 states/eV/cell. The calculation puts the energy above the most stable polymorph in this dataset at 0.579 eV/f.u. The value obtained for the total magnetization is 0.00 μB/cell. Its formation energy is 2.9 kJ/mol of atoms. Its symmetry is R-3m (166).